# CaBi2S4 GGA-PBE optimized geometry
data_CaBi2S4
_symmetry_space_group_name_H-M 'P n m a'
_symmetry_Int_Tables_number 62
_cell_length_a 13.627
_cell_length_b 3.976
_cell_length_c 13.373
_cell_angle_alpha 90.00
_cell_angle_beta 90.00
_cell_angle_gamma 90.00
loop_
_symmetry_equiv_pos_as_xyz
'x,y,z'
'-x,-y,-z'
'-x+1/2,-y,z+1/2'
'x+1/2,y,-z+1/2'
'x+1/2,-y+1/2,-z+1/2'
'-x+1/2,y+1/2,z+1/2'
'-x,y+1/2,-z'
'x,-y+1/2,z'
loop_
_atom_site_label
_atom_site_type_symbol
_atom_site_fract_x
_atom_site_fract_y
_atom_site_fract_z
Ca1 Ca 0.125 0.250 0.092
Bi1 Bi 0.108 0.750 0.422
Bi2 Bi 0.151 0.750 0.810
S1 S 0.021 0.750 0.626
S2 S 0.034 0.250 0.894
S3 S 0.206 0.750 0.242
S4 S 0.244 0.750 0.988
# relative energy among the computed polymorphs	0	meV/atom
# uncorrected formation energy	-0.86	eV/atom